Here is a geometry-optimized MgGaP2S structure from Alexandria via LeMat-Bulk. Energies are from PBE.

Cell: 4.663 4.663 4.870 Å, 90.00 90.00 90.00°
Positions (direct):
1 P 0.000 0.500 0.000
2 P 0.500 0.000 0.000
3 S 0.000 0.000 0.500
4 Mg 0.500 0.500 0.500
5 Ga 0.000 0.000 0.000

Calculated values
DOS(E_F) = 5.2 states/eV per cell
total moment = 0.00 μB per formula unit
theoretical density = 2.95 g/cm³
total DFT energy (no corrections) = -17.0 eV for the cell shown
energy above the lowest structure with this stoichiometry = 0.000 eV per atom
energy relative to the elements, uncorrected = 0.510 eV per atom